No. 1
Below is Pr2TmLu after structural relaxation, with properties calculated at the GGA-PBE level.

a = 3.6449 Å, b = 3.6449 Å, c = 9.8742 Å
α = 90.00°, β = 90.00°, γ = 90.00°
Fractional positions:
Lu 0.5000 0.5000 0.0000
Pr 0.0000 0.0000 0.7510
Pr 0.0000 0.0000 0.2490
Tm 0.5000 0.5000 0.5000

Output
- Energy relative to the elements: 0.03 eV/atom
- Total magnetization: 0.000 μB per atom
- Electronic total energy: -18.5 eV for the cell shown
- Space-group type: No. 123



No. 2
Below is PrTm2Lu after structural relaxation, with properties calculated at the GGA-PBE level.

a = 5.0199 Å, b = 4.9954 Å, c = 4.9954 Å
α = 90.00°, β = 90.00°, γ = 90.00°
Fractional positions:
Pr 0.5000 0.0000 0.0000
Lu 0.5000 0.5000 0.5000
Tm 0.0000 0.0000 0.5000
Tm 0.0000 0.5000 0.0000

Output
- Energy relative to the elements: 0.03 eV/atom
- Total magnetization: 0.000 μB per atom
- Electronic total energy: -18.1 eV for the cell shown
- Space-group type: No. 123



No. 3
Below is PrTm2Lu after structural relaxation, with properties calculated at the GGA-PBE level.

a = 5.6362 Å, b = 5.6362 Å, c = 5.6362 Å
α = 60.00°, β = 60.00°, γ = 60.00°
Fractional positions:
Pr 0.5000 0.5000 0.5000
Tm 0.2500 0.2500 0.2500
Lu 0.0000 0.0000 0.0000
Tm 0.7500 0.7500 0.7500

Output
- Energy relative to the elements: 0.13 eV/atom
- Total magnetization: 0.000 μB per atom
- Electronic total energy: -17.7 eV for the cell shown
- Space-group type: No. 225